Record 1
An optimized crystal structure of YHoTm2Sc. Source: the Alexandria database, functional GGA-PBE.

abc: 8.072 11.126 7.030
angles: 90.00 90.00 90.00
Space group Cmcm (No. 63)
Asymmetric unit:
Y 0.000 0.235 0.250 (multiplicity 4)
Ho 0.000 0.224 0.750 (multiplicity 4)
Tm 0.197 0.000 0.000 (multiplicity 8)
Sc 0.000 0.492 0.750 (multiplicity 4)

## Properties
Magnetic moment: 0.00 μB per formula unit
Theoretical density: 6.70 g cm⁻³
DOS at the Fermi energy: 25.2 states/eV/cell
Uncorrected energy: -98.3 eV for the cell shown

=====

Record 2
An optimized crystal structure of Y2Ho5TmSc. Source: the Alexandria database, functional GGA-PBE.

abc: 5.511 19.754 10.325
angles: 90.00 90.00 90.00
Space group Cmc2_1 (No. 36)
Asymmetric unit:
Y 0.000 0.111 0.000 (multiplicity 4)
Y 0.000 0.114 0.423 (multiplicity 4)
Ho 0.000 0.019 0.705 (multiplicity 4)
Ho 0.000 0.276 0.006 (multiplicity 4)
Ho 0.000 0.300 0.391 (multiplicity 4)
Ho 0.000 0.378 0.708 (multiplicity 4)
Ho 0.000 0.483 0.427 (multiplicity 4)
Tm 0.000 0.409 0.145 (multiplicity 4)
Sc 0.000 0.196 0.702 (multiplicity 4)

## Properties
Magnetic moment: 0.00 μB per formula unit
Theoretical density: 7.19 g cm⁻³
DOS at the Fermi energy: 61.1 states/eV/cell
Uncorrected energy: -180.5 eV for the cell shown

=====

Record 3
An optimized crystal structure of YHo5Tm2Sc. Source: the Alexandria database, functional GGA-PBE.

abc: 5.497 19.800 10.256
angles: 90.00 90.00 90.00
Space group Cmc2_1 (No. 36)
Asymmetric unit:
Y 0.000 0.091 0.000 (multiplicity 4)
Ho 0.000 0.019 0.286 (multiplicity 4)
Ho 0.000 0.122 0.567 (multiplicity 4)
Ho 0.000 0.200 0.252 (multiplicity 4)
Ho 0.000 0.225 0.865 (multiplicity 4)
Ho 0.000 0.483 0.563 (multiplicity 4)
Tm 0.000 0.386 0.282 (multiplicity 4)
Tm 0.000 0.389 0.856 (multiplicity 4)
Sc 0.000 0.304 0.561 (multiplicity 4)

## Properties
Magnetic moment: 0.00 μB per formula unit
Theoretical density: 7.71 g cm⁻³
DOS at the Fermi energy: 63.8 states/eV/cell
Uncorrected energy: -172.1 eV for the cell shown

=====

Record 4
An optimized crystal structure of Y3Ho6Tm2Sc. Source: the Alexandria database, functional GGA-PBE.

abc: 6.083 10.524 11.625
angles: 90.00 100.02 90.00
Space group C2/m (No. 12)
Asymmetric unit:
Y 0.000 0.000 0.000 (multiplicity 2)
Y 0.000 0.333 0.000 (multiplicity 4)
Ho 0.247 0.334 0.745 (multiplicity 8)
Ho 0.250 0.000 0.745 (multiplicity 4)
Tm 0.000 0.167 0.500 (multiplicity 4)
Sc 0.000 0.500 0.500 (multiplicity 2)

## Properties
Magnetic moment: 0.00 μB per formula unit
Theoretical density: 7.43 g cm⁻³
DOS at the Fermi energy: 35.6 states/eV/cell
Uncorrected energy: -123.5 eV for the cell shown

=====

Record 5
An optimized crystal structure of Y5HoTmSc2. Source: the Alexandria database, functional GGA-PBE.

abc: 5.596 21.314 9.353
angles: 90.00 90.00 90.00
Space group Cmc2_1 (No. 36)
Asymmetric unit:
Y 0.000 0.012 0.000 (multiplicity 4)
Y 0.000 0.264 0.325 (multiplicity 4)
Y 0.000 0.306 0.705 (multiplicity 4)
Y 0.000 0.388 0.036 (multiplicity 4)
Y 0.000 0.469 0.737 (multiplicity 4)
Ho 0.000 0.184 0.006 (multiplicity 4)
Tm 0.000 0.401 0.410 (multiplicity 4)
Sc 0.000 0.113 0.312 (multiplicity 4)
Sc 0.000 0.133 0.693 (multiplicity 4)

## Properties
Magnetic moment: 0.00 μB per formula unit
Theoretical density: 5.17 g cm⁻³
DOS at the Fermi energy: 58.8 states/eV/cell
Uncorrected energy: -210.2 eV for the cell shown

=====

Record 6
An optimized crystal structure of Y6Ho2TmSc. Source: the Alexandria database, functional GGA-PBE.

abc: 9.039 14.768 9.492
angles: 90.00 98.47 90.00
Space group C2/c (No. 15)
Asymmetric unit:
Y 0.061 0.185 0.445 (multiplicity 8)
Y 0.101 0.395 0.616 (multiplicity 8)
Y 0.214 0.219 0.811 (multiplicity 8)
Ho 0.249 0.050 0.048 (multiplicity 8)
Tm 0.000 0.022 0.750 (multiplicity 4)
Sc 0.000 0.412 0.250 (multiplicity 4)

## Properties
Magnetic moment: 0.00 μB per formula unit
Theoretical density: 5.71 g cm⁻³
DOS at the Fermi energy: 57.1 states/eV/cell
Uncorrected energy: -229.9 eV for the cell shown

=====

Record 7
An optimized crystal structure of YHo6TmSc2. Source: the Alexandria database, functional GGA-PBE.

abc: 8.868 14.744 9.297
angles: 90.00 96.62 90.00
Space group C2/c (No. 15)
Asymmetric unit:
Y 0.000 0.025 0.250 (multiplicity 4)
Ho 0.060 0.184 0.946 (multiplicity 8)
Ho 0.102 0.396 0.117 (multiplicity 8)
Ho 0.210 0.227 0.317 (multiplicity 8)
Tm 0.000 0.409 0.750 (multiplicity 4)
Sc 0.247 0.444 0.454 (multiplicity 8)

## Properties
Magnetic moment: 0.00 μB per formula unit
Theoretical density: 7.36 g cm⁻³
DOS at the Fermi energy: 63.1 states/eV/cell
Uncorrected energy: -199.4 eV for the cell shown

=====

Record 8
An optimized crystal structure of Y3Ho6TmSc2. Source: the Alexandria database, functional GGA-PBE.

abc: 6.056 10.478 11.545
angles: 90.00 100.05 90.00
Space group C2/m (No. 12)
Asymmetric unit:
Y 0.000 0.000 0.000 (multiplicity 2)
Y 0.000 0.333 0.000 (multiplicity 4)
Ho 0.246 0.000 0.743 (multiplicity 4)
Ho 0.249 0.332 0.743 (multiplicity 8)
Tm 0.000 0.500 0.500 (multiplicity 2)
Sc 0.000 0.167 0.500 (multiplicity 4)

## Properties
Magnetic moment: 0.00 μB per formula unit
Theoretical density: 6.98 g cm⁻³
DOS at the Fermi energy: 37.0 states/eV/cell
Uncorrected energy: -127.0 eV for the cell shown

=====

Record 9
An optimized crystal structure of YHo2Tm4Sc. Source: the Alexandria database, functional GGA-PBE.

abc: 4.921 4.921 9.837
angles: 90.00 90.00 90.00
Space group P4/mmm (No. 123)
Asymmetric unit:
Y 0.000 0.000 0.000 (multiplicity 1)
Ho 0.000 0.000 0.500 (multiplicity 1)
Ho 0.500 0.500 0.000 (multiplicity 1)
Tm 0.000 0.500 0.256 (multiplicity 4)
Sc 0.500 0.500 0.500 (multiplicity 1)

## Properties
Magnetic moment: 0.00 μB per formula unit
Theoretical density: 7.94 g cm⁻³
DOS at the Fermi energy: 12.1 states/eV/cell
Uncorrected energy: -39.5 eV for the cell shown

=====

Record 10
An optimized crystal structure of Y3HoTm6Sc2. Source: the Alexandria database, functional GGA-PBE.

abc: 6.025 10.424 11.519
angles: 90.00 100.02 90.00
Space group C2/m (No. 12)
Asymmetric unit:
Y 0.000 0.000 0.000 (multiplicity 2)
Y 0.000 0.333 0.000 (multiplicity 4)
Ho 0.000 0.500 0.500 (multiplicity 2)
Tm 0.246 0.000 0.743 (multiplicity 4)
Tm 0.249 0.332 0.743 (multiplicity 8)
Sc 0.000 0.167 0.500 (multiplicity 4)

## Properties
Magnetic moment: 0.00 μB per formula unit
Theoretical density: 7.16 g cm⁻³
DOS at the Fermi energy: 37.1 states/eV/cell
Uncorrected energy: -125.9 eV for the cell shown

=====

Record 11
An optimized crystal structure of Y3Ho2Tm6Sc. Source: the Alexandria database, functional GGA-PBE.

abc: 6.057 10.479 11.598
angles: 90.00 100.00 90.00
Space group C2/m (No. 12)
Asymmetric unit:
Y 0.000 0.000 0.000 (multiplicity 2)
Y 0.000 0.334 0.000 (multiplicity 4)
Ho 0.000 0.167 0.500 (multiplicity 4)
Tm 0.247 0.334 0.746 (multiplicity 8)
Tm 0.250 0.000 0.746 (multiplicity 4)
Sc 0.000 0.500 0.500 (multiplicity 2)

## Properties
Magnetic moment: 0.00 μB per formula unit
Theoretical density: 7.58 g cm⁻³
DOS at the Fermi energy: 35.9 states/eV/cell
Uncorrected energy: -122.6 eV for the cell shown

=====

Record 12
An optimized crystal structure of Y2HoTm5Sc. Source: the Alexandria database, functional GGA-PBE.

abc: 5.498 19.553 10.302
angles: 90.00 90.00 90.00
Space group Cmc2_1 (No. 36)
Asymmetric unit:
Y 0.000 0.111 0.000 (multiplicity 4)
Y 0.000 0.113 0.420 (multiplicity 4)
Ho 0.000 0.411 0.142 (multiplicity 4)
Tm 0.000 0.019 0.705 (multiplicity 4)
Tm 0.000 0.277 0.003 (multiplicity 4)
Tm 0.000 0.300 0.390 (multiplicity 4)
Tm 0.000 0.381 0.706 (multiplicity 4)
Tm 0.000 0.481 0.423 (multiplicity 4)
Sc 0.000 0.197 0.699 (multiplicity 4)

## Properties
Magnetic moment: 0.00 μB per formula unit
Theoretical density: 7.39 g cm⁻³
DOS at the Fermi energy: 58.6 states/eV/cell
Uncorrected energy: -178.7 eV for the cell shown